No. 1
A plane-wave DFT calculation with GGA-PBE was carried out for Na2InSn2Br7 after structural relaxation.

abc: 12.8493 12.8493 12.8493
angles: 153.00 38.62 152.90
Fractional coordinates of all 12 atoms:
Na: 0.2484 0.0000 0.2484
Na: 0.7516 0.0000 0.7516
In: 0.2850 0.2850 0.0000
Sn: 0.1359 0.5132 0.6227
Sn: 0.8906 0.5132 0.3773
Br: 0.0576 0.5576 0.5000
Br: 0.1270 0.0081 0.1189
Br: 0.2440 0.4995 0.7445
Br: 0.3457 0.9740 0.3717
Br: 0.6023 0.9740 0.6283
Br: 0.7549 0.4995 0.2555
Br: 0.8892 0.0081 0.8811

Properties
ΔE_f (raw) (eV per atom): -0.997
Magnetization (Bohr magnetons per cell): 0.000
Symmetry: Imm2

No. 2
A plane-wave DFT calculation with GGA-PBE was carried out for NaInSnBr6 after structural relaxation.

abc: 7.2647 7.2647 12.8942
angles: 90.00 90.00 120.00
Fractional coordinates of all 18 atoms:
Na: 0.3333 0.6667 0.2500
Na: 0.6667 0.3333 0.7500
In: 0.3333 0.6667 0.7500
In: 0.6667 0.3333 0.2500
Sn: 0.0000 0.0000 0.0000
Sn: 0.0000 0.0000 0.5000
Br: 0.0247 0.3606 0.6275
Br: 0.0247 0.6641 0.8725
Br: 0.3359 0.3606 0.8725
Br: 0.3359 0.9753 0.6275
Br: 0.3606 0.0247 0.1275
Br: 0.3606 0.3359 0.3725
Br: 0.6394 0.6641 0.6275
Br: 0.6394 0.9753 0.8725
Br: 0.6641 0.0247 0.3725
Br: 0.6641 0.6394 0.1275
Br: 0.9753 0.3359 0.1275
Br: 0.9753 0.6394 0.3725

Properties
ΔE_f (raw) (eV per atom): -0.932
Magnetization (Bohr magnetons per cell): 0.000
Symmetry: P-31c

No. 3
A plane-wave DFT calculation with GGA-PBE was carried out for NaSrInBr2 after structural relaxation.

abc: 5.3934 5.3934 6.0386
angles: 90.00 90.00 90.00
Fractional coordinates of all 5 atoms:
Na: 0.0000 0.0000 0.0000
Sr: 0.5000 0.5000 0.5000
In: 0.0000 0.0000 0.5000
Br: 0.0000 0.5000 0.0000
Br: 0.5000 0.0000 0.0000

Properties
ΔE_f (raw) (eV per atom): -0.734
Magnetization (Bohr magnetons per cell): 0.000
Symmetry: P4/mmm

No. 4
A plane-wave DFT calculation with GGA-PBE was carried out for NaSr2InBr8 after structural relaxation.

abc: 6.7849 9.0663 6.9898
angles: 90.00 90.43 90.00
Fractional coordinates of all 12 atoms:
Na: 0.0000 0.0000 0.0000
Sr: 0.5000 0.2499 0.5000
Sr: 0.5000 0.7501 0.5000
In: 0.0000 0.5000 0.0000
Br: 0.2191 0.2796 0.8496
Br: 0.2191 0.7204 0.8496
Br: 0.2435 0.5000 0.3259
Br: 0.2688 0.0000 0.3282
Br: 0.7312 0.0000 0.6718
Br: 0.7565 0.5000 0.6741
Br: 0.7809 0.2796 0.1504
Br: 0.7809 0.7204 0.1504

Properties
ΔE_f (raw) (eV per atom): -1.549
Magnetization (Bohr magnetons per cell): 0.000
Symmetry: P2/m